Entry 1:
MgPCS2: relaxed, GGA-PBEsol.

Results
**Density**: 2.9 g/cm3
**Formation energy without anion corrections**: 0.60 eV per atom

abc: 3.549 4.586 4.586
angles: 90.00 90.00 90.00
Sites, in units of the cell vectors:
Mg (0.500, 0.500, 0.500)
S (0.000, 0.000, 0.500)
S (0.000, 0.500, 0.000)
C (0.000, 0.000, 0.000)
P (0.500, 0.000, 0.000)



Entry 2:
MgPb3C: relaxed, GGA-PBEsol.

Results
**Density**: 7.1 g/cm3
**Energy**: -2.91 eV per atom

abc: 5.361 5.361 5.361
angles: 90.00 90.00 90.00
Last column: magnetic moment on the atom in μB.
Sites, in units of the cell vectors:
Pb (0.500, 0.000, 0.000)  -0.04
C (0.500, 0.500, 0.500)  0.80
Mg (0.000, 0.000, 0.000)  0.01
Pb (0.000, 0.000, 0.500)  -0.04
Pb (0.000, 0.500, 0.000)  -0.04



Entry 3:
MgPtC2: relaxed, GGA-PBEsol.

Results
**Density**: 7.3 g/cm3
**Energy**: -6.04 eV per atom

abc: 4.821 4.821 5.864
angles: 114.27 114.27 90.00
Sites, in units of the cell vectors:
Mg (0.500, 0.500, 0.000)
C (0.924, 0.375, 0.250)
Pt (0.000, 0.000, 0.000)
Pt (0.250, 0.750, 0.500)
C (0.125, 0.076, 0.750)
C (0.326, 0.875, 0.250)
Mg (0.750, 0.250, 0.500)
C (0.625, 0.674, 0.750)



Entry 4:
RbYMgC2: relaxed, GGA-PBEsol.

Results
**Density**: 4.2 g/cm3
**Energy**: -3.88 eV per atom

abc: 4.371 4.371 4.645
angles: 90.00 90.00 90.00
Sites, in units of the cell vectors:
C (0.000, 0.500, 0.000)
Mg (0.000, 0.000, 0.000)
C (0.500, 0.000, 0.000)
Y (0.500, 0.500, 0.500)
Rb (0.000, 0.000, 0.500)



Entry 5:
MgReC3: relaxed, GGA-PBEsol.

Results
**Density**: 7.1 g/cm3
**Energy**: -5.41 eV per atom

abc: 3.861 3.861 3.861
angles: 90.00 90.00 90.00
Last column: magnetic moment on the atom in μB.
Sites, in units of the cell vectors:
Mg (0.000, 0.000, 0.000)  -0.02
C (0.000, 0.000, 0.500)  0.02
C (0.000, 0.500, 0.000)  0.02
C (0.500, 0.000, 0.000)  0.02
Re (0.500, 0.500, 0.500)  -2.01



Entry 6:
MgCS2: relaxed, GGA-PBEsol.

Results
**Density**: 2.4 g/cm3
**Formation energy without anion corrections**: 0.42 eV per atom

abc: 5.044 5.044 6.477
angles: 112.92 112.92 90.00
Sites, in units of the cell vectors:
S (0.625, 0.546, 0.750)
S (0.796, 0.375, 0.250)
Mg (0.000, 0.000, 0.000)
S (0.454, 0.875, 0.250)
C (0.500, 0.500, 0.000)
S (0.125, 0.204, 0.750)
C (0.750, 0.250, 0.500)
Mg (0.250, 0.750, 0.500)



Entry 7:
Mg2TcCS: relaxed, GGA-PBEsol.

Results
**Density**: 2.9 g/cm3
**Formation energy without anion corrections**: 1.38 eV per atom

abc: 4.247 5.077 5.077
angles: 90.00 90.00 90.00
Last column: magnetic moment on the atom in μB.
Sites, in units of the cell vectors:
S (0.500, 0.000, 0.000)  0.05
Mg (0.000, 0.500, 0.000)  -0.01
C (0.500, 0.500, 0.500)  0.95
Mg (0.000, 0.000, 0.500)  -0.01
Tc (0.000, 0.000, 0.000)  0.04



Entry 8:
MgTlSbC2: relaxed, GGA-PBEsol.

Results
**Density**: 6.1 g/cm3
**Formation energy without anion corrections**: 2.36 eV per atom

abc: 4.372 4.372 5.371
angles: 90.00 90.00 90.00
Sites, in units of the cell vectors:
Sb (0.500, 0.500, 0.500)
Tl (0.000, 0.000, 0.000)
C (0.500, 0.000, 0.000)
Mg (0.000, 0.000, 0.500)
C (0.000, 0.500, 0.000)



Question: The highest density belongs to which entry?
Answer: MgPtC2